[1]
The following is a DFT calculation (GGA-PBE) of an optimized crystal structure of Li2CdHgPd.

Cell: 4.8690 5.0426 4.8690 Å, 90.00 90.00 90.00°
Last column: nearest neighbours and their distance in Å.
Fractional positions:
Cd 0.0000 0.0000 0.0000  4 Li 2.43, 2 Pd 2.52
Li 0.0000 0.0000 0.5000  2 Cd 2.43
Li 0.5000 0.0000 0.0000  2 Cd 2.43
Pd 0.0000 0.5000 0.0000  2 Cd 2.52
Hg 0.5000 0.5000 0.5000  4 Pd 3.44, 8 Li 3.50

## Properties
* calculated formation energy: 229 meV/atom
* DFT total energy: -9.094 eV/cell
* space group: P4/mmm, No. 123

[2]
The following is a DFT calculation (GGA-PBE) of an optimized crystal structure of Li2CdHg2Pd2.

Cell: 4.2367 4.9087 6.7212 Å, 101.93 90.00 115.57°
Last column: nearest neighbours and their distance in Å.
Fractional positions:
Li 0.7070 0.4141 0.1885  3 Pd 2.69-2.78, 3 Hg 2.74-2.84, 2 Cd 2.90
Hg 0.4083 0.8166 0.2775  4 Li 2.74-3.06, 5 Pd 2.80-3.03, 2 Cd 3.05, 1 Hg 3.06
Li 0.2930 0.5859 0.8115  3 Pd 2.69-2.78, 3 Hg 2.74-2.84, 2 Cd 2.90
Pd 0.1347 0.2694 0.4181  3 Li 2.69-2.78, 1 Cd 2.79, 3 Hg 2.80-2.92, 3 Pd 2.85-2.97
Cd 0.0000 0.0000 0.0000  2 Pd 2.79, 4 Li 2.90, 4 Hg 3.05
Hg 0.5917 0.1834 0.7225  4 Li 2.74-3.06, 5 Pd 2.80-3.03, 2 Cd 3.05, 1 Hg 3.06
Pd 0.8653 0.7306 0.5819  3 Li 2.69-2.78, 1 Cd 2.79, 3 Hg 2.80-2.92, 3 Pd 2.85-2.97

## Properties
* calculated formation energy: -325 meV/atom
* DFT total energy: -18.010 eV/cell
* space group: C2/m, No. 12

[3]
The following is a DFT calculation (GGA-PBE) of an optimized crystal structure of Li2Cd2HgPd2.

Cell: 4.1119 4.9737 6.7315 Å, 99.98 90.00 114.42°
Last column: nearest neighbours and their distance in Å.
Fractional positions:
Pd 0.1371 0.2743 0.4198  3 Li 2.75-2.80, 5 Cd 2.79-2.91, 1 Hg 2.86, 3 Pd 2.89-2.95
Pd 0.8629 0.7257 0.5802  3 Li 2.75-2.80, 5 Cd 2.79-2.91, 1 Hg 2.86, 3 Pd 2.89-2.95
Cd 0.5871 0.1742 0.7061  5 Pd 2.79-2.91, 3 Li 2.80-2.88, 1 Cd 2.92, 2 Hg 3.06
Cd 0.4129 0.8258 0.2939  5 Pd 2.79-2.91, 3 Li 2.80-2.88, 1 Cd 2.92, 2 Hg 3.06
Li 0.2956 0.5913 0.8193  3 Pd 2.75-2.80, 3 Cd 2.80-2.88, 2 Hg 2.88
Hg 0.0000 0.0000 0.0000  2 Pd 2.86, 6 Li 2.88-3.15, 4 Cd 3.06
Li 0.7044 0.4087 0.1807  3 Pd 2.75-2.80, 3 Cd 2.80-2.88, 2 Hg 2.88

## Properties
* calculated formation energy: -358 meV/atom
* DFT total energy: -18.848 eV/cell
* space group: C2/m, No. 12

[4]
The following is a DFT calculation (GGA-PBE) of an optimized crystal structure of LiPmCd2Hg4.

Cell: 4.9610 4.9610 9.0610 Å, 74.11 74.11 60.00°
Last column: nearest neighbours and their distance in Å.
Fractional positions:
Hg 0.8683 0.8683 0.3951  3 Li 3.00, 4 Cd 3.02-3.11
Cd 0.7511 0.7511 0.7467  7 Hg 2.99-3.11
Hg 0.6154 0.6154 0.1537  1 Li 2.98, 3 Cd 2.99, 3 Pm 3.15
Hg 0.1317 0.1317 0.6049  3 Li 3.00, 4 Cd 3.02-3.11
Li 0.5000 0.5000 0.5000  8 Hg 2.98-3.00
Hg 0.3846 0.3846 0.8463  1 Li 2.98, 3 Cd 2.99, 3 Pm 3.15
Pm 0.0000 0.0000 0.0000  8 Hg 3.15-3.40
Cd 0.2489 0.2489 0.2533  7 Hg 2.99-3.11

## Properties
* calculated formation energy: -289 meV/atom
* DFT total energy: -12.015 eV/cell
* space group: R-3m, No. 166

Look up the DFT total energy of the fourth one.
-12.015 eV/cell